Entry 1:
Computed, not measured: a PBEsol-optimized structure of ZnPW2 at the meta-GGA SCAN level of DFT.

POSCAR file:
```
ZnPW2
1.0
2.873 0.000 0.000
1.437 2.488 0.000
1.437 0.829 8.129
W Zn P
2 1 1
Direct
0.257 0.257 0.229 W
0.743 0.743 0.771 W
0.500 0.500 0.500 Zn
0.000 0.000 0.000 P
```

Entry 2:
meta-GGA SCAN ZrP2W, single point on PBEsol structure; energy above the lowest structure with this stoichiometry = 0.428 eV/atom
1.0
-1.924 -1.116 2.436
-2.090 -2.145 -2.634
3.058 -3.805 0.673
Zr P W
1 2 1
Direct
0.000 0.500 0.000 Zr
0.500 0.000 0.772 P
0.500 0.000 0.228 P
0.500 0.500 0.500 W

Entry 3:
meta-GGA SCAN ZrP2W, single point on PBEsol structure; energy above the lowest structure with this stoichiometry = 0.000 eV/atom
1.0
-3.096 0.534 -0.872
-0.843 -3.089 1.099
0.867 3.442 5.125
W P Zr
1 2 1
Direct
0.544 0.544 0.088 W
0.200 0.700 0.401 P
0.964 0.964 0.928 P
0.792 0.292 0.584 Zr

Entry 4:
Computed, not measured: a PBEsol-optimized structure of Y2P at the meta-GGA SCAN level of DFT.

POSCAR file:
```
Y2P
1.0
3.856 0.000 0.000
-1.928 3.340 0.000
0.000 0.000 6.307
Y P
2 1
Direct
0.333 0.667 0.248 Y
0.667 0.333 0.752 Y
0.000 0.000 0.000 P
```

Entry 5:
Computed, not measured: a PBEsol-optimized structure of YP3 at the meta-GGA SCAN level of DFT.

POSCAR file:
```
YP3
1.0
4.075 0.000 0.000
0.000 4.080 0.000
0.000 0.000 4.080
P Y
3 1
Direct
0.000 0.000 0.500 P
0.000 0.500 0.000 P
0.500 0.500 0.500 P
0.500 0.000 0.000 Y
```

Entry 6:
Computed, not measured: a PBEsol-optimized structure of YP2 at the meta-GGA SCAN level of DFT.

POSCAR file:
```
YP2
1.0
3.780 0.000 0.000
0.000 3.780 0.000
-1.890 -1.890 7.674
P Y
4 2
Direct
0.331 0.831 0.662 P
0.169 0.669 0.338 P
0.081 0.081 0.162 P
0.919 0.919 0.838 P
0.500 0.500 0.000 Y
0.750 0.250 0.500 Y
```

Entry 7:
Computed, not measured: a PBEsol-optimized structure of YP2 at the meta-GGA SCAN level of DFT.

POSCAR file:
```
YP2
1.0
-1.400 4.060 0.201
-0.606 -2.708 4.511
5.092 1.672 1.688
P Y
4 2
Direct
0.646 0.292 0.750 P
0.354 0.708 0.250 P
0.060 0.120 0.750 P
0.940 0.880 0.250 P
0.647 0.294 0.250 Y
0.353 0.706 0.750 Y
```

Entry 8:
meta-GGA SCAN Y5P, single point on PBEsol structure; energy above the lowest structure with this stoichiometry = 0.000 eV/atom
1.0
3.558 0.000 0.000
0.000 3.558 0.000
0.000 0.000 12.817
Y P
5 1
Direct
0.500 0.500 0.310 Y
0.500 0.500 0.690 Y
0.000 0.000 0.500 Y
0.000 0.000 0.118 Y
0.000 0.000 0.882 Y
0.500 0.500 0.000 P

Entry 9:
Computed, not measured: a PBEsol-optimized structure of Y2P at the meta-GGA SCAN level of DFT.

POSCAR file:
```
Y2P
1.0
-1.575 0.946 -3.324
2.843 -6.066 -3.073
-8.291 -5.136 2.468
Y P
8 4
Direct
0.750 0.529 0.697 Y
0.250 0.971 0.197 Y
0.250 0.178 0.545 Y
0.250 0.678 0.955 Y
0.750 0.029 0.803 Y
0.750 0.822 0.455 Y
0.750 0.322 0.045 Y
0.250 0.471 0.303 Y
0.750 0.176 0.329 P
0.250 0.324 0.829 P
0.750 0.676 0.171 P
0.250 0.824 0.671 P
```

Entry 10:
Computed, not measured: a PBEsol-optimized structure of YP2 at the meta-GGA SCAN level of DFT.

POSCAR file:
```
YP2
1.0
3.762 0.000 0.000
1.881 4.631 0.013
1.881 1.574 7.194
Y P
2 4
Direct
0.803 0.194 0.199 Y
0.197 0.806 0.801 Y
0.122 0.282 0.473 P
0.878 0.718 0.527 P
0.542 0.804 0.112 P
0.458 0.196 0.888 P
```

Entry 11:
meta-GGA SCAN Y5P, single point on PBEsol structure; energy above the lowest structure with this stoichiometry = 0.202 eV/atom
1.0
-3.273 0.796 1.588
-1.581 -4.778 -0.864
4.660 -2.737 6.609
Y P
5 1
Direct
0.463 0.500 0.926 Y
0.108 0.500 0.217 Y
0.777 0.500 0.555 Y
0.643 0.000 0.286 Y
0.337 0.000 0.674 Y
0.004 0.000 0.008 P

Entry 12:
Computed, not measured: a PBEsol-optimized structure of YZnP at the meta-GGA SCAN level of DFT.

POSCAR file:
```
YZnP
1.0
3.428 0.062 0.000
-0.893 3.310 0.000
-1.268 -1.686 5.006
Y P Zn
1 1 1
Direct
0.659 0.659 0.318 Y
0.982 0.982 0.964 P
0.359 0.359 0.718 Zn
```

Values for raw total energy, eV per atom, ordered as above
-40.54 -30.73 -31.16 -23.20 -15.10 -16.96 -17.04 -25.37 -23.19 -17.11 -25.17 -17.83